# Pm2ErPd4

A relaxed Pm2ErPd4 crystal (GGA-PBE, Alexandria).

POSCAR file:
```
Pm2ErPd4
1.0
8.8984 0.0000 0.0000
0.0000 5.6832 0.0000
-3.9266 0.0000 6.8596
Pm Er Pd
4 2 8
Direct
0.2167 0.0000 0.3251 Pm
0.2833 0.5000 0.6749 Pm
0.7167 0.5000 0.3251 Pm
0.7833 0.0000 0.6749 Pm
0.0000 0.5000 0.0000 Er
0.5000 0.0000 0.0000 Er
0.1550 0.0000 0.6592 Pd
0.2500 0.2500 0.0000 Pd
0.2500 0.7500 0.0000 Pd
0.3450 0.5000 0.3408 Pd
0.6550 0.5000 0.6592 Pd
0.7500 0.2500 0.0000 Pd
0.7500 0.7500 0.0000 Pd
0.8450 0.0000 0.3408 Pd
```

As for the calculated total energy: -5.55 eV/atom. The value obtained for the energy of formation from the pure elements is -574 meV/atom.


# PmErPd2

A relaxed PmErPd2 crystal (GGA-PBE, Alexandria).

POSCAR file:
```
PmErPd2
1.0
4.5768 0.0000 0.0000
0.0000 3.7852 0.0000
0.0000 0.0000 10.6389
Pm Er Pd
2 2 4
Direct
0.0000 0.0000 0.0000 Pm
0.0000 0.5000 0.5000 Pm
0.5000 0.0000 0.7257 Er
0.5000 0.5000 0.2257 Er
0.0000 0.0000 0.2740 Pd
0.0000 0.5000 0.7740 Pd
0.5000 0.0000 0.4460 Pd
0.5000 0.5000 0.9460 Pd
```

As for the calculated total energy: -5.80 eV/atom. The value obtained for the energy of formation from the pure elements is -880 meV/atom. The calculation puts the distance to the lowest polymorph of the same formula at 0 meV/atom.


# Pm2Er2Pd3

A relaxed Pm2Er2Pd3 crystal (GGA-PBE, Alexandria).

POSCAR file:
```
Pm2Er2Pd3
1.0
3.9180 0.0000 0.0000
-1.9542 6.6763 0.0000
-1.9547 -1.4683 6.9019
Pm Er Pd
2 2 3
Direct
0.1915 0.2758 0.1080 Pm
0.8085 0.7242 0.8920 Pm
0.0991 0.7742 0.4240 Er
0.9009 0.2258 0.5760 Er
0.4276 0.0505 0.8049 Pd
0.5000 0.5000 0.5000 Pd
0.5724 0.9495 0.1951 Pd
```

As for the calculated total energy: -5.59 eV/atom. The value obtained for the energy of formation from the pure elements is -703 meV/atom.


# Pm2Er3Pd2

A relaxed Pm2Er3Pd2 crystal (GGA-PBE, Alexandria).

POSCAR file:
```
Pm2Er3Pd2
1.0
3.7189 0.0000 0.0000
-1.8572 6.3079 0.0000
-1.8444 -0.6950 8.2276
Pm Er Pd
2 3 2
Direct
0.2328 0.3484 0.1198 Pm
0.7672 0.6516 0.8802 Pm
0.0000 0.5000 0.5000 Er
0.4375 0.0998 0.7762 Er
0.5625 0.9002 0.2238 Er
0.2889 0.1484 0.4296 Pd
0.7111 0.8516 0.5704 Pd
```

As for the calculated total energy: -5.18 eV/atom. The value obtained for the energy of formation from the pure elements is -387 meV/atom. The calculation puts the distance to the lowest polymorph of the same formula at 144 meV/atom.